# 1
# Y2Zr4Au3C3 (PBE, optimized geometry)
data_Y2Zr4Au3C3
_chemical_formula_sum 'Y4 Zr8 Au6 C6'
_space_group_name_H-M_alt 'P 1'
_space_group_IT_number 1
_space_group_name_Hall 'P 1'
_cell_length_a 5.8865
_cell_length_b 5.8865
_cell_length_c 14.9874
_cell_angle_alpha 101.81
_cell_angle_beta 101.81
_cell_angle_gamma 60.00
loop_
_atom_site_label
_atom_site_fract_x
_atom_site_fract_y
_atom_site_fract_z
Au1 0.8964 0.5862 0.2496
Au2 0.9313 0.0687 0.2500
Au3 0.4138 0.1036 0.2504
Au4 0.5862 0.8964 0.7496
Au5 0.0687 0.9313 0.7500
Au6 0.1036 0.4138 0.7504
C1 0.0000 0.5000 0.0000
C2 0.6728 0.1546 0.0003
C3 0.8454 0.3272 0.4997
C4 0.5000 0.0000 0.5000
C5 0.1546 0.6728 0.5003
C6 0.3272 0.8454 0.9997
Y1 0.3752 0.5388 0.1102
Y2 0.4612 0.6248 0.3898
Y3 0.5388 0.3752 0.6102
Y4 0.6248 0.4612 0.8898
Zr1 0.0196 0.2025 0.0817
Zr2 0.6929 0.8539 0.0818
Zr3 0.1461 0.3071 0.4182
Zr4 0.7975 0.9804 0.4183
Zr5 0.2025 0.0196 0.5817
Zr6 0.8539 0.6929 0.5818
Zr7 0.3071 0.1461 0.9182
Zr8 0.9804 0.7975 0.9183
# total energy	-184.83	eV for the cell shown
# calculated volume	437	Å³ per cell

=====

# 2
# Y4Zr2Au3C3 (PBE, optimized geometry)
data_Y4Zr2Au3C3
_chemical_formula_sum 'Y8 Zr4 Au6 C6'
_space_group_name_H-M_alt 'P 1'
_space_group_IT_number 1
_space_group_name_Hall 'P 1'
_cell_length_a 6.2010
_cell_length_b 6.2010
_cell_length_c 14.5099
_cell_angle_alpha 102.07
_cell_angle_beta 102.07
_cell_angle_gamma 60.07
loop_
_atom_site_label
_atom_site_fract_x
_atom_site_fract_y
_atom_site_fract_z
Au1 0.5838 0.6999 0.2498
Au2 0.8642 0.1358 0.2500
Au3 0.3001 0.4162 0.2502
Au4 0.6999 0.5838 0.7498
Au5 0.1358 0.8642 0.7500
Au6 0.4162 0.3001 0.7502
C1 0.5000 0.0000 0.0000
C2 0.1953 0.6526 0.0003
C3 0.3474 0.8047 0.4997
C4 0.0000 0.5000 0.5000
C5 0.6526 0.1953 0.5003
C6 0.8047 0.3474 0.9997
Y1 0.8751 0.7000 0.1018
Y2 0.1906 0.0420 0.1019
Y3 0.9580 0.8094 0.3981
Y4 0.3000 0.1249 0.3982
Y5 0.7000 0.8751 0.6018
Y6 0.0420 0.1906 0.6019
Y7 0.8094 0.9580 0.8981
Y8 0.1249 0.3000 0.8982
Zr1 0.5265 0.3488 0.0802
Zr2 0.6512 0.4735 0.4198
Zr3 0.3488 0.5265 0.5802
Zr4 0.4735 0.6512 0.9198
# total energy	-174.74	eV for the cell shown
# calculated volume	469	Å³ per cell

=====

# 3
# Zr4ZnAuC2 (PBE, optimized geometry)
data_Zr4ZnAuC2
_chemical_formula_sum 'Zr4 Zn1 Au1 C2'
_space_group_name_H-M_alt 'P 1'
_space_group_IT_number 1
_space_group_name_Hall 'P 1'
_cell_length_a 3.3310
_cell_length_b 3.3310
_cell_length_c 14.3193
_cell_angle_alpha 90.00
_cell_angle_beta 90.00
_cell_angle_gamma 120.00
loop_
_atom_site_label
_atom_site_fract_x
_atom_site_fract_y
_atom_site_fract_z
Au1 0.0000 0.0000 0.0000
C1 0.3333 0.6667 0.2504
C2 0.3333 0.6667 0.7496
Zn1 0.6667 0.3333 0.5000
Zr1 0.6667 0.3333 0.1596
Zr2 0.0000 0.0000 0.3391
Zr3 0.0000 0.0000 0.6609
Zr4 0.6667 0.3333 0.8404
# total energy	-61.79	eV for the cell shown
# calculated volume	138	Å³ per cell

=====

# 4
# Zr3AuC (PBE, optimized geometry)
data_Zr3AuC
_chemical_formula_sum 'Zr6 Au2 C2'
_space_group_name_H-M_alt 'P 1'
_space_group_IT_number 1
_space_group_name_Hall 'P 1'
_cell_length_a 6.1364
_cell_length_b 6.1364
_cell_length_c 9.1419
_cell_angle_alpha 90.00
_cell_angle_beta 90.00
_cell_angle_gamma 147.84
loop_
_atom_site_label
_atom_site_fract_x
_atom_site_fract_y
_atom_site_fract_z
Au1 0.7482 0.2518 0.2500
Au2 0.2518 0.7482 0.7500
C1 0.0000 0.0000 0.0000
C2 0.0000 0.0000 0.5000
Zr1 0.3739 0.6261 0.0509
Zr2 0.0487 0.9513 0.2500
Zr3 0.3739 0.6261 0.4491
Zr4 0.6261 0.3739 0.5509
Zr5 0.9513 0.0487 0.7500
Zr6 0.6261 0.3739 0.9491
# total energy	-82.75	eV for the cell shown
# calculated volume	183	Å³ per cell

=====

# 5
# Zr4AuC3 (PBE, optimized geometry)
data_Zr4AuC3
_chemical_formula_sum 'Zr8 Au2 C6'
_space_group_name_H-M_alt 'P 1'
_space_group_IT_number 1
_space_group_name_Hall 'P 1'
_cell_length_a 3.3642
_cell_length_b 3.3642
_cell_length_c 24.7766
_cell_angle_alpha 90.00
_cell_angle_beta 90.00
_cell_angle_gamma 120.00
loop_
_atom_site_label
_atom_site_fract_x
_atom_site_fract_y
_atom_site_fract_z
Au1 0.3333 0.6667 0.2500
Au2 0.6667 0.3333 0.7500
C1 0.0000 0.0000 0.0000
C2 0.6667 0.3333 0.1121
C3 0.6667 0.3333 0.3879
C4 0.0000 0.0000 0.5000
C5 0.3333 0.6667 0.6121
C6 0.3333 0.6667 0.8879
Zr1 0.3333 0.6667 0.0531
Zr2 0.0000 0.0000 0.1600
Zr3 0.0000 0.0000 0.3400
Zr4 0.3333 0.6667 0.4469
Zr5 0.6667 0.3333 0.5531
Zr6 0.0000 0.0000 0.6600
Zr7 0.0000 0.0000 0.8400
Zr8 0.6667 0.3333 0.9469
# total energy	-142.33	eV for the cell shown
# calculated volume	243	Å³ per cell

=====

# 6
# Zr3AuC2 (PBE, optimized geometry)
data_Zr3AuC2
_chemical_formula_sum 'Zr6 Au2 C4'
_space_group_name_H-M_alt 'P 1'
_space_group_IT_number 1
_space_group_name_Hall 'P 1'
_cell_length_a 3.3559
_cell_length_b 3.3559
_cell_length_c 19.5299
_cell_angle_alpha 90.00
_cell_angle_beta 90.00
_cell_angle_gamma 120.00
loop_
_atom_site_label
_atom_site_fract_x
_atom_site_fract_y
_atom_site_fract_z
Au1 0.0000 0.0000 0.2500
Au2 0.0000 0.0000 0.7500
C1 0.3333 0.6667 0.0723
C2 0.3333 0.6667 0.4277
C3 0.6667 0.3333 0.5723
C4 0.6667 0.3333 0.9277
Zr1 0.0000 0.0000 0.0000
Zr2 0.6667 0.3333 0.1343
Zr3 0.6667 0.3333 0.3657
Zr4 0.0000 0.0000 0.5000
Zr5 0.3333 0.6667 0.6343
Zr6 0.3333 0.6667 0.8657
# total energy	-103.51	eV for the cell shown
# calculated volume	190	Å³ per cell

=====

# 7
# CdAu15 (PBE, optimized geometry)
data_CdAu15
_chemical_formula_sum 'Cd2 Au30'
_space_group_name_H-M_alt 'P 1'
_space_group_IT_number 1
_space_group_name_Hall 'P 1'
_cell_length_a 4.1344
_cell_length_b 4.1359
_cell_length_c 47.2679
_cell_angle_alpha 90.00
_cell_angle_beta 90.00
_cell_angle_gamma 90.00
loop_
_atom_site_label
_atom_site_fract_x
_atom_site_fract_y
_atom_site_fract_z
Au1 0.7500 0.5000 0.1655
Au2 0.2500 0.5000 0.2092
Au3 0.7500 0.0000 0.2092
Au4 0.7500 0.5000 0.2540
Au5 0.2500 0.0000 0.2543
Au6 0.2500 0.5000 0.2989
Au7 0.7500 0.0000 0.2989
Au8 0.7500 0.5000 0.3435
Au9 0.2500 0.0000 0.3436
Au10 0.7500 0.0000 0.3882
Au11 0.2500 0.5000 0.3882
Au12 0.7500 0.5000 0.4329
Au13 0.2500 0.0000 0.4330
Au14 0.7500 0.0000 0.4776
Au15 0.2500 0.5000 0.4777
Au16 0.7500 0.5000 0.5223
Au17 0.2500 0.0000 0.5224
Au18 0.7500 0.0000 0.5670
Au19 0.2500 0.5000 0.5671
Au20 0.7500 0.5000 0.6118
Au21 0.2500 0.0000 0.6118
Au22 0.7500 0.0000 0.6564
Au23 0.2500 0.5000 0.6565
Au24 0.2500 0.0000 0.7011
Au25 0.7500 0.5000 0.7011
Au26 0.7500 0.0000 0.7457
Au27 0.2500 0.5000 0.7460
Au28 0.2500 0.0000 0.7908
Au29 0.7500 0.5000 0.7908
Au30 0.2500 0.5000 0.8345
Cd1 0.2500 0.0000 0.1607
Cd2 0.7500 0.0000 0.8393
# energy of formation	0.013	eV per atom
# ΔE to the lowest computed polymorph	0	meV per atom
# calculated volume	808	Å³ per cell

=====

# 8
# CdAu2 (PBE, optimized geometry)
data_CdAu2
_chemical_formula_sum 'Cd2 Au4'
_space_group_name_H-M_alt 'P 1'
_space_group_IT_number 1
_space_group_name_Hall 'P 1'
_cell_length_a 5.5633
_cell_length_b 5.5633
_cell_length_c 5.5613
_cell_angle_alpha 119.98
_cell_angle_beta 119.98
_cell_angle_gamma 89.91
loop_
_atom_site_label
_atom_site_fract_x
_atom_site_fract_y
_atom_site_fract_z
Au1 0.0000 0.0000 0.0000
Au2 0.5000 0.0000 0.0000
Au3 0.0000 0.0000 0.5000
Au4 0.0000 0.5000 0.5000
Cd1 0.3750 0.6250 0.2500
Cd2 0.6250 0.3750 0.7500
# energy of formation	-0.097	eV per atom
# calculated volume	122	Å³ per cell

=====

# 9
# CdAu15 (PBE, optimized geometry)
data_CdAu15
_chemical_formula_sum 'Cd2 Au30'
_space_group_name_H-M_alt 'P 1'
_space_group_IT_number 1
_space_group_name_Hall 'P 1'
_cell_length_a 5.0785
_cell_length_b 37.7105
_cell_length_c 5.0784
_cell_angle_alpha 90.00
_cell_angle_beta 109.58
_cell_angle_gamma 90.00
loop_
_atom_site_label
_atom_site_fract_x
_atom_site_fract_y
_atom_site_fract_z
Au1 0.5000 0.2068 0.2500
Au2 0.0000 0.2416 0.2500
Au3 0.5000 0.2843 0.2500
Au4 0.0000 0.3224 0.2500
Au5 0.5000 0.3625 0.2500
Au6 0.0000 0.4014 0.2500
Au7 0.5000 0.4411 0.2500
Au8 0.0000 0.4802 0.2500
Au9 0.5000 0.5198 0.2500
Au10 0.0000 0.5588 0.2500
Au11 0.5000 0.5986 0.2500
Au12 0.0000 0.6373 0.2500
Au13 0.5000 0.6776 0.2500
Au14 0.0000 0.7160 0.2500
Au15 0.5000 0.7584 0.2500
Au16 0.5000 0.2416 0.7500
Au17 0.0000 0.2840 0.7500
Au18 0.5000 0.3224 0.7500
Au19 0.0000 0.3627 0.7500
Au20 0.5000 0.4014 0.7500
Au21 0.0000 0.4412 0.7500
Au22 0.5000 0.4802 0.7500
Au23 0.0000 0.5198 0.7500
Au24 0.5000 0.5589 0.7500
Au25 0.0000 0.5986 0.7500
Au26 0.5000 0.6375 0.7500
Au27 0.0000 0.6776 0.7500
Au28 0.5000 0.7157 0.7500
Au29 0.0000 0.7584 0.7500
Au30 0.5000 0.7932 0.7500
Cd1 0.0000 0.7966 0.2500
Cd2 0.0000 0.2034 0.7500
# energy of formation	0.036	eV per atom
# ΔE to the lowest computed polymorph	24	meV per atom
# calculated volume	916	Å³ per cell

=====

# 10
# Cd3Au5 (PBE, optimized geometry)
data_Cd3Au5
_chemical_formula_sum 'Cd3 Au5'
_space_group_name_H-M_alt 'P 1'
_space_group_IT_number 1
_space_group_name_Hall 'P 1'
_cell_length_a 3.5253
_cell_length_b 3.5253
_cell_length_c 12.2757
_cell_angle_alpha 90.00
_cell_angle_beta 90.00
_cell_angle_gamma 90.00
loop_
_atom_site_label
_atom_site_fract_x
_atom_site_fract_y
_atom_site_fract_z
Au1 0.5000 0.5000 0.0000
Au2 0.5000 0.5000 0.2500
Au3 0.0000 0.0000 0.3758
Au4 0.0000 0.0000 0.6242
Au5 0.5000 0.5000 0.7500
Cd1 0.0000 0.0000 0.1283
Cd2 0.5000 0.5000 0.5000
Cd3 0.0000 0.0000 0.8717
# energy of formation	-0.152	eV per atom
# calculated volume	153	Å³ per cell

=====

# 11
# CdAu15 (PBE, optimized geometry)
data_CdAu15
_chemical_formula_sum 'Cd4 Au60'
_space_group_name_H-M_alt 'P 1'
_space_group_IT_number 1
_space_group_name_Hall 'P 1'
_cell_length_a 8.2107
_cell_length_b 47.3689
_cell_length_c 4.1499
_cell_angle_alpha 90.00
_cell_angle_beta 90.00
_cell_angle_gamma 90.00
loop_
_atom_site_label
_atom_site_fract_x
_atom_site_fract_y
_atom_site_fract_z
Au1 0.1250 0.0223 0.0000
Au2 0.6250 0.0223 0.0000
Au3 0.3750 0.0670 0.0000
Au4 0.8750 0.0670 0.0000
Au5 0.1252 0.1117 0.0000
Au6 0.6248 0.1117 0.0000
Au7 0.8751 0.1564 0.0000
Au8 0.3750 0.1566 0.0000
Au9 0.6259 0.2012 0.0000
Au10 0.1241 0.2013 0.0000
Au11 0.3733 0.2457 0.0000
Au12 0.8767 0.2464 0.0000
Au13 0.6270 0.2897 0.0000
Au14 0.1216 0.2924 0.0000
Au15 0.3814 0.3350 0.0000
Au16 0.6186 0.6650 0.0000
Au17 0.8784 0.7076 0.0000
Au18 0.3730 0.7103 0.0000
Au19 0.1233 0.7536 0.0000
Au20 0.6267 0.7543 0.0000
Au21 0.8759 0.7987 0.0000
Au22 0.3741 0.7988 0.0000
Au23 0.6250 0.8434 0.0000
Au24 0.1249 0.8436 0.0000
Au25 0.3752 0.8883 0.0000
Au26 0.8748 0.8883 0.0000
Au27 0.1250 0.9330 0.0000
Au28 0.6250 0.9330 0.0000
Au29 0.3750 0.9777 0.0000
Au30 0.8750 0.9777 0.0000
Au31 0.8750 0.0223 0.5000
Au32 0.3750 0.0223 0.5000
Au33 0.6250 0.0670 0.5000
Au34 0.1250 0.0670 0.5000
Au35 0.8748 0.1117 0.5000
Au36 0.3752 0.1117 0.5000
Au37 0.1249 0.1564 0.5000
Au38 0.6250 0.1566 0.5000
Au39 0.3741 0.2012 0.5000
Au40 0.8759 0.2013 0.5000
Au41 0.6267 0.2457 0.5000
Au42 0.1233 0.2464 0.5000
Au43 0.3730 0.2897 0.5000
Au44 0.8784 0.2924 0.5000
Au45 0.6186 0.3350 0.5000
Au46 0.3814 0.6650 0.5000
Au47 0.1216 0.7076 0.5000
Au48 0.6270 0.7103 0.5000
Au49 0.8767 0.7536 0.5000
Au50 0.3733 0.7543 0.5000
Au51 0.1241 0.7987 0.5000
Au52 0.6259 0.7988 0.5000
Au53 0.3750 0.8434 0.5000
Au54 0.8751 0.8436 0.5000
Au55 0.6248 0.8883 0.5000
Au56 0.1252 0.8883 0.5000
Au57 0.8750 0.9330 0.5000
Au58 0.3750 0.9330 0.5000
Au59 0.6250 0.9777 0.5000
Au60 0.1250 0.9777 0.5000
Cd1 0.8578 0.3390 0.0000
Cd2 0.1422 0.6610 0.0000
Cd3 0.1422 0.3390 0.5000
Cd4 0.8578 0.6610 0.5000
# energy of formation	0.020	eV per atom
# ΔE to the lowest computed polymorph	7	meV per atom
# calculated volume	1614	Å³ per cell

=====

# 12
# Cd5Au2 (PBE, optimized geometry)
data_Cd5Au2
_chemical_formula_sum 'Cd20 Au8'
_space_group_name_H-M_alt 'P 1'
_space_group_IT_number 1
_space_group_name_Hall 'P 1'
_cell_length_a 8.5630
_cell_length_b 8.5630
_cell_length_c 9.1221
_cell_angle_alpha 90.00
_cell_angle_beta 90.00
_cell_angle_gamma 120.00
loop_
_atom_site_label
_atom_site_fract_x
_atom_site_fract_y
_atom_site_fract_z
Au1 0.1180 0.2360 0.2500
Au2 0.6667 0.3333 0.2500
Au3 0.1180 0.8820 0.2500
Au4 0.7640 0.8820 0.2500
Au5 0.2360 0.1180 0.7500
Au6 0.8820 0.1180 0.7500
Au7 0.3333 0.6667 0.7500
Au8 0.8820 0.7640 0.7500
Cd1 0.0000 0.0000 0.0000
Cd2 0.4076 0.2038 0.0347
Cd3 0.7962 0.2038 0.0347
Cd4 0.7962 0.5924 0.0347
Cd5 0.0667 0.5333 0.2500
Cd6 0.4667 0.5333 0.2500
Cd7 0.4667 0.9333 0.2500
Cd8 0.4076 0.2038 0.4653
Cd9 0.7962 0.2038 0.4653
Cd10 0.7962 0.5924 0.4653
Cd11 0.0000 0.0000 0.5000
Cd12 0.2038 0.4076 0.5347
Cd13 0.2038 0.7962 0.5347
Cd14 0.5924 0.7962 0.5347
Cd15 0.5333 0.0667 0.7500
Cd16 0.5333 0.4667 0.7500
Cd17 0.9333 0.4667 0.7500
Cd18 0.2038 0.4076 0.9653
Cd19 0.2038 0.7962 0.9653
Cd20 0.5924 0.7962 0.9653
# energy of formation	-0.145	eV per atom
# calculated volume	579	Å³ per cell

=====

# 13
# CdAu15 (PBE, optimized geometry)
data_CdAu15
_chemical_formula_sum 'Cd2 Au30'
_space_group_name_H-M_alt 'P 1'
_space_group_IT_number 1
_space_group_name_Hall 'P 1'
_cell_length_a 5.8356
_cell_length_b 2.9410
_cell_length_c 47.0977
_cell_angle_alpha 90.00
_cell_angle_beta 90.01
_cell_angle_gamma 90.00
loop_
_atom_site_label
_atom_site_fract_x
_atom_site_fract_y
_atom_site_fract_z
Au1 0.3750 0.0000 0.1650
Au2 0.1233 0.5000 0.2092
Au3 0.6267 0.5000 0.2092
Au4 0.8750 0.0000 0.2538
Au5 0.3750 0.0000 0.2543
Au6 0.6259 0.5000 0.2988
Au7 0.1241 0.5000 0.2988
Au8 0.3750 0.0000 0.3434
Au9 0.8750 0.0000 0.3435
Au10 0.1251 0.5000 0.3882
Au11 0.6249 0.5000 0.3882
Au12 0.8750 0.0000 0.4329
Au13 0.3750 0.0000 0.4329
Au14 0.6250 0.5000 0.4776
Au15 0.1250 0.5000 0.4776
Au16 0.8750 0.0000 0.5224
Au17 0.3750 0.0000 0.5224
Au18 0.6250 0.5000 0.5671
Au19 0.1250 0.5000 0.5671
Au20 0.3751 0.0000 0.6118
Au21 0.8749 0.0000 0.6118
Au22 0.1250 0.5000 0.6565
Au23 0.6250 0.5000 0.6566
Au24 0.8759 0.0000 0.7012
Au25 0.3741 0.0000 0.7012
Au26 0.6250 0.5000 0.7456
Au27 0.1250 0.5000 0.7462
Au28 0.3733 0.0000 0.7908
Au29 0.8767 0.0000 0.7908
Au30 0.6250 0.5000 0.8350
Cd1 0.8750 0.0000 0.1616
Cd2 0.1250 0.5000 0.8384
# energy of formation	0.023	eV per atom
# ΔE to the lowest computed polymorph	10	meV per atom
# calculated volume	808	Å³ per cell

=====

# 14
# Cd9Au4 (PBE, optimized geometry)
data_Cd9Au4
_chemical_formula_sum 'Cd9 Au4'
_space_group_name_H-M_alt 'P 1'
_space_group_IT_number 1
_space_group_name_Hall 'P 1'
_cell_length_a 7.9599
_cell_length_b 7.9599
_cell_length_c 7.9599
_cell_angle_alpha 130.12
_cell_angle_beta 130.12
_cell_angle_gamma 73.21
loop_
_atom_site_label
_atom_site_fract_x
_atom_site_fract_y
_atom_site_fract_z
Au1 0.2250 0.2250 0.0000
Au2 0.7750 0.7750 0.0000
Au3 0.5000 0.0000 0.5000
Au4 0.0000 0.5000 0.5000
Cd1 0.0000 0.0000 0.0000
Cd2 0.5984 0.1441 0.0000
Cd3 0.8559 0.4016 0.0000
Cd4 0.1441 0.5984 0.0000
Cd5 0.4016 0.8559 0.0000
Cd6 0.5984 0.5984 0.4543
Cd7 0.8559 0.8559 0.4543
Cd8 0.1441 0.1441 0.5457
Cd9 0.4016 0.4016 0.5457
# energy of formation	-0.165	eV per atom
# calculated volume	288	Å³ per cell

=====

# 15
# CdAu2 (PBE, optimized geometry)
data_CdAu2
_chemical_formula_sum 'Cd2 Au4'
_space_group_name_H-M_alt 'P 1'
_space_group_IT_number 1
_space_group_name_Hall 'P 1'
_cell_length_a 5.5559
_cell_length_b 5.5559
_cell_length_c 5.5544
_cell_angle_alpha 119.80
_cell_angle_beta 119.80
_cell_angle_gamma 60.19
loop_
_atom_site_label
_atom_site_fract_x
_atom_site_fract_y
_atom_site_fract_z
Au1 0.0000 0.0000 0.0000
Au2 0.5000 0.0000 0.0000
Au3 0.0000 0.5000 0.0000
Au4 0.0000 0.0000 0.5000
Cd1 0.6256 0.6256 0.3746
Cd2 0.3744 0.3744 0.6254
# energy of formation	-0.098	eV per atom
# calculated volume	122	Å³ per cell